Entry 1:
Below is HfTi4In5 after structural relaxation, with properties calculated at the PBE level.

Cell and atoms, written as POSCAR:
```
HfTi4In5
1.0
7.132 0.000 0.000
0.000 10.670 0.000
0.000 0.000 6.092
In Hf Ti
10 2 8
direct
0.547 0.000 0.500
0.201 0.269 0.757
0.799 0.769 0.743
0.453 0.500 0.000
0.201 0.269 0.243
0.799 0.769 0.257
0.799 0.231 0.257
0.201 0.731 0.243
0.201 0.731 0.757
0.799 0.231 0.743
0.846 0.000 0.000
0.154 0.500 0.500
0.512 0.371 0.500
0.512 0.629 0.500
0.488 0.871 0.000
0.801 0.500 0.731
0.199 0.000 0.769
0.199 0.000 0.231
0.488 0.129 0.000
0.801 0.500 0.269
```

Output
Crystal system   orthorhombic
Density   6.762 g cm⁻³
Polymorph energy (0 for the lowest one)   419 meV per atom
Energy relative to the elements   275 meV per atom

Entry 2:
Below is HfTi3In after structural relaxation, with properties calculated at the PBE level.

Cell and atoms, written as POSCAR:
```
HfTi3In
1.0
4.964 0.000 0.000
0.000 4.964 0.000
0.000 0.000 4.964
Ti Hf In
3 1 1
direct
0.000 0.000 0.500
0.000 0.500 0.000
0.500 0.000 0.000
0.500 0.500 0.500
0.000 0.000 0.000
```

Output
Crystal system   cubic
Density   5.930 g cm⁻³
Polymorph energy (0 for the lowest one)   1211 meV per atom
Energy relative to the elements   1200 meV per atom

Entry 3:
Below is Hf2Ti5In5 after structural relaxation, with properties calculated at the PBE level.

Cell and atoms, written as POSCAR:
```
Hf2Ti5In5
1.0
3.745 0.000 0.800
1.580 6.792 1.772
-0.078 0.780 9.527
In Hf Ti
5 2 5
direct
0.595 0.070 0.741
0.500 0.500 0.500
0.669 0.671 0.991
0.405 0.930 0.259
0.331 0.329 0.009
0.084 0.586 0.245
0.916 0.414 0.755
0.253 0.749 0.745
0.828 0.840 0.504
0.000 0.000 0.000
0.747 0.251 0.255
0.172 0.160 0.496
```

Output
Crystal system   monoclinic
Density   8.147 g cm⁻³
Energy relative to the elements   -111 meV per atom

Entry 4:
Below is HfTiIn4 after structural relaxation, with properties calculated at the PBE level.

Cell and atoms, written as POSCAR:
```
HfTiIn4
1.0
-0.647 5.812 -3.379
-5.700 -2.267 -2.808
-3.589 2.608 5.180
In Ti Hf
8 2 2
direct
0.750 0.250 0.739
0.750 0.250 0.261
0.250 0.250 0.261
0.250 0.250 0.739
0.250 0.750 0.739
0.250 0.750 0.261
0.750 0.750 0.739
0.750 0.750 0.261
0.500 0.000 0.500
0.000 0.500 0.500
0.000 0.000 0.000
0.500 0.500 0.000
```

Output
Crystal system   orthorhombic
Density   7.328 g cm⁻³
Energy relative to the elements   252 meV per atom

Entry 5:
Below is Hf6TiIn5 after structural relaxation, with properties calculated at the PBE level.

Cell and atoms, written as POSCAR:
```
Hf6TiIn5
1.0
5.526 -0.092 0.000
1.842 10.138 0.000
0.921 5.069 4.692
Hf In Ti
6 5 1
direct
0.250 0.578 0.340
0.740 0.752 0.000
0.260 0.248 0.000
0.750 0.422 0.660
0.250 0.918 0.660
0.750 0.082 0.340
0.000 0.675 0.651
0.500 0.840 0.319
0.500 0.500 0.000
0.500 0.160 0.681
0.000 0.325 0.349
0.000 0.000 0.000
```

Output
Crystal system   monoclinic
Density   10.661 g cm⁻³
Energy relative to the elements   -33 meV per atom

Entry 6:
Below is Hf2TiIn after structural relaxation, with properties calculated at the PBE level.

Cell and atoms, written as POSCAR:
```
Hf2TiIn
1.0
-2.995 1.704 -0.635
-1.018 -0.557 3.306
2.934 5.863 1.892
Ti In Hf
1 1 2
direct
0.500 0.500 0.000
0.500 0.500 0.500
0.000 0.000 0.768
0.000 0.000 0.232
```

Output
Crystal system   tetragonal
Density   10.301 g cm⁻³
Energy relative to the elements   -68 meV per atom

Entry 7:
Below is Hf2Ti5In4 after structural relaxation, with properties calculated at the PBE level.

Cell and atoms, written as POSCAR:
```
Hf2Ti5In4
1.0
-1.775 1.751 1.614
-5.960 -3.258 -3.022
-0.495 -6.973 7.020
Hf Ti In
2 5 4
direct
0.000 0.937 0.645
0.000 0.063 0.355
0.000 0.222 0.825
0.000 0.569 0.725
0.000 0.500 0.000
0.000 0.431 0.275
0.000 0.778 0.175
0.500 0.300 0.557
0.500 0.835 0.906
0.500 0.700 0.443
0.500 0.165 0.094
```

Output
Crystal system   monoclinic
Density   8.028 g cm⁻³
Energy relative to the elements   25 meV per atom

Entry 8:
Below is Hf3TiIn4 after structural relaxation, with properties calculated at the PBE level.

Cell and atoms, written as POSCAR:
```
Hf3TiIn4
1.0
-3.343 -1.344 1.029
1.692 -2.716 1.949
0.150 7.163 9.850
In Hf Ti
4 3 1
direct
0.000 0.000 0.881
0.000 0.000 0.119
0.000 0.000 0.374
0.000 0.000 0.626
0.500 0.500 0.245
0.500 0.500 0.500
0.500 0.500 0.755
0.500 0.500 0.000
```

Output
Crystal system   tetragonal
Density   10.125 g cm⁻³
Polymorph energy (0 for the lowest one)   63 meV per atom
Energy relative to the elements   -14 meV per atom

Entry 9:
Below is Hf12TiIn6 after structural relaxation, with properties calculated at the PBE level.

Cell and atoms, written as POSCAR:
```
Hf12TiIn6
1.0
-1.131 6.959 -2.487
-4.440 1.353 5.861
5.919 2.344 3.920
Ti Hf In
1 12 6
direct
0.000 0.000 0.000
0.624 0.939 0.853
0.198 0.480 0.551
0.520 0.449 0.802
0.449 0.802 0.520
0.551 0.198 0.480
0.061 0.147 0.376
0.147 0.376 0.061
0.376 0.061 0.147
0.853 0.624 0.939
0.802 0.520 0.449
0.480 0.551 0.198
0.939 0.853 0.624
0.877 0.254 0.730
0.270 0.123 0.746
0.254 0.730 0.877
0.746 0.270 0.123
0.123 0.746 0.270
0.730 0.877 0.254
```

Output
Crystal system   trigonal
Density   11.439 g cm⁻³
Energy relative to the elements   -6 meV per atom

Entry 10:
Below is HfTi4In2 after structural relaxation, with properties calculated at the PBE level.

Cell and atoms, written as POSCAR:
```
HfTi4In2
1.0
4.541 -1.555 -2.205
-1.229 5.133 0.214
-1.910 1.952 7.295
Ti In Hf
4 2 1
direct
0.500 0.000 0.000
0.666 0.833 0.500
0.334 0.167 0.500
0.000 0.500 0.000
0.760 0.501 0.261
0.240 0.499 0.739
0.000 0.000 0.000
```

Output
Crystal system   monoclinic
Density   7.187 g cm⁻³
Polymorph energy (0 for the lowest one)   0 meV per atom
Energy relative to the elements   156 meV per atom

Entry 11:
Below is Hf2TiIn after structural relaxation, with properties calculated at the PBE level.

Cell and atoms, written as POSCAR:
```
Hf2TiIn
1.0
-2.657 0.971 -1.423
-2.775 -0.222 1.508
-0.508 9.284 3.758
Ti Hf In
1 2 1
direct
0.000 0.000 0.000
0.254 0.254 0.238
0.746 0.746 0.762
0.500 0.500 0.500
```

Output
Crystal system   trigonal
Density   10.079 g cm⁻³
Energy relative to the elements   -9 meV per atom

Entry 12:
Below is HfTi3In2 after structural relaxation, with properties calculated at the PBE level.

Cell and atoms, written as POSCAR:
```
HfTi3In2
1.0
-1.143 0.817 -2.624
0.538 -4.776 -1.721
-7.194 0.164 4.871
Hf Ti In
1 3 2
direct
0.000 0.000 0.000
0.000 0.500 0.000
0.823 0.823 0.647
0.177 0.177 0.353
0.348 0.348 0.696
0.652 0.652 0.304
```

Output
Crystal system   orthorhombic
Density   7.378 g cm⁻³
Polymorph energy (0 for the lowest one)   436 meV per atom
Energy relative to the elements   385 meV per atom